[1]
This record from the Alexandria database describes crystalline Nd7Mg4Sc at its relaxed geometry. The functional is GGA-PBE.

```
12
Lattice="-0.728 0.628 5.698 -1.801 -8.358 3.622 6.434 -3.104 4.095" Properties=species:S:1:pos:R:3 pbc="T T T"
Nd 1.093 -8.412 9.858
Nd 2.811 -2.421 3.556
Nd 0.590 -5.513 3.614
Nd 3.315 -5.320 9.801
Nd 3.574 -8.317 7.234
Nd -0.364 0.314 2.849
Nd 0.330 -2.517 6.180
Mg 2.983 -4.135 6.698
Mg 0.921 -6.699 6.717
Mg -1.648 -5.032 6.205
Mg 5.553 -5.802 7.210
Sc 0.000 0.000 0.000
```

DFT formation energy   0.123 eV/atom
M_tot   0.000 μB/atom
Final energy   -3.7173 eV/atom
Space-group type   C2/m (12)

[2]
This record from the Alexandria database describes crystalline NdMgSc3 at its relaxed geometry. The functional is GGA-PBE.

```
10
Lattice="-1.308 -0.133 -5.226 -4.786 -4.335 1.308 -4.243 5.798 3.692" Properties=species:S:1:pos:R:3 pbc="T T T"
Nd -8.037 1.122 -0.795
Nd -2.300 0.207 0.570
Mg -4.331 -3.216 -1.612
Mg -6.006 4.545 1.387
Sc -7.303 -2.200 -0.894
Sc -3.034 3.529 0.669
Sc -5.406 1.381 1.318
Sc -4.931 -0.051 -1.543
Sc -4.877 -1.745 1.265
Sc -5.460 3.074 -1.490
```

DFT formation energy   0.069 eV/atom
M_tot   0.000 μB/atom
Final energy   -5.0028 eV/atom
Space-group type   Cmcm (63)

[3]
This record from the Alexandria database describes crystalline Nd3Mg4Sc at its relaxed geometry. The functional is GGA-PBE.

```
8
Lattice="-2.295 -2.717 -1.319 2.651 -1.018 -2.515 5.901 -9.959 10.250" Properties=species:S:1:pos:R:3 pbc="T T T"
Sc 0.178 -1.867 -1.917
Mg 5.266 -8.888 9.147
Mg 0.635 -1.071 1.102
Mg 2.187 -3.690 3.798
Mg 3.714 -6.269 6.452
Nd 1.591 -4.253 0.538
Nd 3.128 -6.847 3.208
Nd 4.665 -9.441 5.878
```

DFT formation energy   -0.080 eV/atom
M_tot   0.000 μB/atom
Final energy   -3.4571 eV/atom
Space-group type   P4/mmm (123)

[4]
This record from the Alexandria database describes crystalline NdSmMgSc at its relaxed geometry. The functional is GGA-PBE.

```
4
Lattice="-1.490 -4.073 3.341 1.950 -5.053 -0.804 3.625 -2.126 3.509" Properties=species:S:1:pos:R:3 pbc="T T T"
Sc 0.000 0.000 0.000
Mg 2.042 -5.626 3.023
Nd 3.063 -8.439 4.535
Sm 1.021 -2.813 1.512
```

DFT formation energy   0.015 eV/atom
M_tot   0.000 μB/atom
Final energy   -4.3387 eV/atom
Space-group type   F-43m (216)
Excess energy over the best structure of this formula in the dataset   8 kJ/mol of formula units

[5]
This record from the Alexandria database describes crystalline NdSmMgSc at its relaxed geometry. The functional is GGA-PBE.

```
4
Lattice="3.683 0.000 0.000 0.000 3.683 0.000 0.000 0.000 8.654" Properties=species:S:1:pos:R:3 pbc="T T T"
Nd 0.000 0.000 3.103
Sm 0.000 0.000 7.400
Mg 1.842 1.842 5.275
Sc 1.842 1.842 0.906
```

DFT formation energy   -0.006 eV/atom
M_tot   0.080 μB/atom
Final energy   -4.3591 eV/atom
Space-group type   P4mm (99)
Excess energy over the best structure of this formula in the dataset   0 kJ/mol of formula units

[6]
This record from the Alexandria database describes crystalline Nd2Sm4MgSc at its relaxed geometry. The functional is GGA-PBE.

```
8
Lattice="-0.769 -4.824 1.095 4.889 -0.906 -0.557 6.371 1.068 9.183" Properties=species:S:1:pos:R:3 pbc="T T T"
Nd 4.889 -0.906 -0.557
Nd 2.801 -1.878 5.139
Sm 8.443 0.116 6.445
Sm 2.047 -4.779 3.276
Sm 4.877 -2.819 2.452
Sm 5.614 -1.844 7.269
Mg 2.060 -2.865 0.269
Sc 5.630 0.081 4.313
```

DFT formation energy   0.026 eV/atom
M_tot   0.000 μB/atom
Final energy   -4.5168 eV/atom
Space-group type   P4/mmm (123)